1.
VASP calculation (PBE with a Hubbard U) on a geometry-optimized K3Ni5O12 structure.

Cell lengths 11.1688, 11.1688, 11.1688 Å; angles 109.47, 109.47, 109.47 degrees
With the nearest neighbours (Å) after each atom.
Fractional positions:
O 0.9970 0.3980 0.8145  2 Ni 1.82-1.99
O 0.4010 0.3980 0.0835  2 Ni 1.82-1.99
O 0.4010 0.0030 0.8176  2 Ni 1.82-1.99
O 0.3145 0.4970 0.3980  2 Ni 1.82-1.99
O 0.9165 0.8145 0.8176  2 Ni 1.82-1.99
O 0.4970 0.1824 0.0990  2 Ni 1.82-1.99
O 0.0990 0.4165 0.1020  2 Ni 1.82-1.99
O 0.3176 0.9010 0.0030  2 Ni 1.82-1.99
O 0.8145 0.9165 0.3176  2 Ni 1.82-1.99
O 0.1855 0.0835 0.6824  2 Ni 1.82-1.99
O 0.6020 0.5990 0.4165  2 Ni 1.82-1.99
O 0.6855 0.5030 0.6020  2 Ni 1.82-1.99
O 0.0030 0.4010 0.3176  2 Ni 1.82-1.99
O 0.4970 0.3145 0.8980  2 Ni 1.82-1.99
O 0.9010 0.3176 0.5030  2 Ni 1.82-1.99
O 0.6824 0.0990 0.9970  2 Ni 1.82-1.99
O 0.9010 0.5835 0.8980  2 Ni 1.82-1.99
O 0.5835 0.9010 0.3980  2 Ni 1.82-1.99
O 0.9165 0.1020 0.5990  2 Ni 1.82-1.99
O 0.4165 0.0990 0.6020  2 Ni 1.82-1.99
O 0.5030 0.6855 0.1020  2 Ni 1.82-1.99
O 0.5030 0.8176 0.9010  2 Ni 1.82-1.99
O 0.8176 0.3145 0.9165  2 Ni 1.82-1.99
O 0.5990 0.6020 0.9165  2 Ni 1.82-1.99
O 0.5990 0.9970 0.1824  2 Ni 1.82-1.99
O 0.6020 0.0030 0.6855  2 Ni 1.82-1.99
O 0.1855 0.1020 0.0030  2 Ni 1.82-1.99
O 0.8980 0.0835 0.9010  2 Ni 1.82-1.99
O 0.0990 0.6824 0.4970  2 Ni 1.82-1.99
O 0.3980 0.4010 0.5835  2 Ni 1.82-1.99
O 0.1824 0.4970 0.5990  2 Ni 1.82-1.99
O 0.0835 0.1855 0.1824  2 Ni 1.82-1.99
O 0.6855 0.1824 0.5835  2 Ni 1.82-1.99
O 0.1020 0.9165 0.0990  2 Ni 1.82-1.99
O 0.4165 0.3176 0.3145  2 Ni 1.82-1.99
O 0.0835 0.8980 0.4010  2 Ni 1.82-1.99
O 0.8176 0.5030 0.4010  2 Ni 1.82-1.99
O 0.3980 0.9970 0.3145  2 Ni 1.82-1.99
O 0.5835 0.6824 0.6855  2 Ni 1.82-1.99
O 0.1020 0.1855 0.5030  2 Ni 1.82-1.99
O 0.3176 0.4165 0.8145  2 Ni 1.82-1.99
O 0.9970 0.5990 0.6824  2 Ni 1.82-1.99
O 0.8145 0.8980 0.9970  2 Ni 1.82-1.99
O 0.1824 0.6855 0.0835  2 Ni 1.82-1.99
O 0.0030 0.6020 0.1855  2 Ni 1.82-1.99
O 0.3145 0.8176 0.4165  2 Ni 1.82-1.99
O 0.8980 0.8145 0.4970  2 Ni 1.82-1.99
O 0.6824 0.5835 0.1855  2 Ni 1.82-1.99
K 0.3750 0.7500 0.6250  8 O 2.63-2.77
K 0.1250 0.8750 0.7500  8 O 2.63-2.77
K 0.1250 0.2500 0.8750  8 O 2.63-2.77
K 0.2500 0.1250 0.3750  8 O 2.63-2.77
K 0.7500 0.8750 0.6250  8 O 2.63-2.77
K 0.3750 0.6250 0.2500  8 O 2.63-2.77
K 0.2500 0.6250 0.8750  8 O 2.63-2.77
K 0.8750 0.1250 0.2500  8 O 2.63-2.77
K 0.6250 0.3750 0.7500  8 O 2.63-2.77
K 0.7500 0.3750 0.1250  8 O 2.63-2.77
K 0.6250 0.2500 0.3750  8 O 2.63-2.77
K 0.8750 0.7500 0.1250  8 O 2.63-2.77
Ni 0.7500 0.1250 0.8750  4 O 1.82
Ni 0.8750 0.2500 0.6250  4 O 1.82
Ni 0.6250 0.7500 0.8750  4 O 1.82
Ni 0.5000 0.0000 0.5000  6 O 1.99
Ni 0.7500 0.6250 0.3750  4 O 1.82
Ni 0.8750 0.6250 0.7500  4 O 1.82
Ni 0.2500 0.8750 0.1250  4 O 1.82
Ni 0.1250 0.7500 0.3750  4 O 1.82
Ni 0.0000 0.5000 0.0000  6 O 1.99
Ni 0.5000 0.0000 0.0000  6 O 1.99
Ni 0.0000 0.0000 0.0000  6 O 1.99
Ni 0.2500 0.3750 0.6250  4 O 1.82
Ni 0.0000 0.5000 0.5000  6 O 1.99
Ni 0.6250 0.8750 0.2500  4 O 1.82
Ni 0.3750 0.1250 0.7500  4 O 1.82
Ni 0.5000 0.5000 0.5000  6 O 1.99
Ni 0.0000 0.0000 0.5000  6 O 1.99
Ni 0.5000 0.5000 0.0000  6 O 1.99
Ni 0.3750 0.2500 0.1250  4 O 1.82
Ni 0.1250 0.3750 0.2500  4 O 1.82

Values from the calculation:
Calculated density = 3.7 g/cm³
Final energy = -4.246 eV/atom

2.
VASP calculation (PBE with a Hubbard U) on a geometry-optimized K9Ni2O7 structure.

Cell lengths 11.0133, 11.0133, 11.0133 Å; angles 90.00, 90.00, 90.00 degrees
With the nearest neighbours (Å) after each atom.
Fractional positions:
O 0.9085 0.0645 0.8411  1 Ni 1.91
O 0.1987 0.3013 0.6987  1 Ni 1.93
O 0.9418 0.8187 0.4196  1 Ni 1.88
O 0.6589 0.0915 0.5645  1 Ni 1.91
O 0.4418 0.6813 0.5804  1 Ni 1.88
O 0.0582 0.3187 0.0804  1 Ni 1.88
O 0.3187 0.0804 0.0582  1 Ni 1.88
O 0.1589 0.4085 0.4355  1 Ni 1.91
O 0.8013 0.8013 0.8013  1 Ni 1.93
O 0.9196 0.5582 0.1813  1 Ni 1.88
O 0.3411 0.5915 0.9355  1 Ni 1.91
O 0.6813 0.5804 0.4418  1 Ni 1.88
O 0.4085 0.4355 0.1589  1 Ni 1.91
O 0.8187 0.4196 0.9418  1 Ni 1.88
O 0.5915 0.9355 0.3411  1 Ni 1.91
O 0.4355 0.1589 0.4085  1 Ni 1.91
O 0.9355 0.3411 0.5915  1 Ni 1.91
O 0.5804 0.4418 0.6813  1 Ni 1.88
O 0.5582 0.1813 0.9196  1 Ni 1.88
O 0.3013 0.6987 0.1987  1 Ni 1.93
O 0.6987 0.1987 0.3013  1 Ni 1.93
O 0.0804 0.0582 0.3187  1 Ni 1.88
O 0.0915 0.5645 0.6589  1 Ni 1.91
O 0.1813 0.9196 0.5582  1 Ni 1.88
O 0.0645 0.8411 0.9085  1 Ni 1.91
O 0.8411 0.9085 0.0645  1 Ni 1.91
O 0.5645 0.6589 0.0915  1 Ni 1.91
O 0.4196 0.9418 0.8187  1 Ni 1.88
K 0.1642 0.0380 0.7822  5 O 2.80-3.07
K 0.3358 0.9620 0.2822  5 O 2.80-3.07
K 0.9620 0.2822 0.3358  5 O 2.80-3.07
K 0.6621 0.9955 0.7886  5 O 2.63-2.88
K 0.7178 0.8358 0.5380  5 O 2.80-3.07
K 0.7698 0.7302 0.2698  3 O 2.70
K 0.2114 0.1621 0.5045  5 O 2.63-2.88
K 0.9331 0.5669 0.4331  6 O 2.78-3.04
K 0.0380 0.7822 0.1642  5 O 2.80-3.07
K 0.2886 0.8379 0.0045  5 O 2.63-2.88
K 0.4955 0.7114 0.3379  5 O 2.63-2.88
K 0.3379 0.4955 0.7114  5 O 2.63-2.88
K 0.1621 0.5045 0.2114  5 O 2.63-2.88
K 0.6642 0.4620 0.2178  5 O 2.80-3.07
K 0.7302 0.2698 0.7698  3 O 2.70
K 0.2178 0.6642 0.4620  5 O 2.80-3.07
K 0.0966 0.5966 0.9034  3 O 2.72
K 0.2822 0.3358 0.9620  5 O 2.80-3.07
K 0.0669 0.0669 0.0669  6 O 2.78-3.04
K 0.7822 0.1642 0.0380  5 O 2.80-3.07
K 0.5966 0.9034 0.0966  3 O 2.72
K 0.5380 0.7178 0.8358  5 O 2.80-3.07
K 0.7886 0.6621 0.9955  5 O 2.63-2.88
K 0.4620 0.2178 0.6642  5 O 2.80-3.07
K 0.9955 0.7886 0.6621  5 O 2.63-2.88
K 0.8358 0.5380 0.7178  5 O 2.80-3.07
K 0.2698 0.7698 0.7302  3 O 2.70
K 0.5669 0.4331 0.9331  6 O 2.78-3.04
K 0.4331 0.9331 0.5669  6 O 2.78-3.04
K 0.0045 0.2886 0.8379  5 O 2.63-2.88
K 0.4034 0.4034 0.4034  3 O 2.72
K 0.7114 0.3379 0.4955  5 O 2.63-2.88
K 0.2302 0.2302 0.2302  3 O 2.70
K 0.8379 0.0045 0.2886  5 O 2.63-2.88
K 0.9034 0.0966 0.5966  3 O 2.72
K 0.5045 0.2114 0.1621  5 O 2.63-2.88
Ni 0.4025 0.5975 0.0975  4 O 1.91-1.93
Ni 0.0975 0.4025 0.5975  4 O 1.91-1.93
Ni 0.9250 0.4250 0.0750  3 O 1.88
Ni 0.0750 0.9250 0.4250  3 O 1.88
Ni 0.9025 0.9025 0.9025  4 O 1.91-1.93
Ni 0.5975 0.0975 0.4025  4 O 1.91-1.93
Ni 0.4250 0.0750 0.9250  3 O 1.88
Ni 0.5750 0.5750 0.5750  3 O 1.88

Values from the calculation:
Calculated density = 2.9 g/cm³
Final energy = -3.875 eV/atom

3.
VASP calculation (PBE with a Hubbard U) on a geometry-optimized K3NiOs2O9 structure.

Cell lengths 5.5901, 5.5901, 6.9179 Å; angles 90.00, 90.00, 120.00 degrees
With the nearest neighbours (Å) after each atom.
Fractional positions:
K 0.3333 0.6667 0.6585  12 O 2.80-2.86
K 0.6667 0.3333 0.3415  12 O 2.80-2.86
K 0.0000 0.0000 0.0000  12 O 2.77-2.80
Os 0.6667 0.3333 0.8324  6 O 1.87-1.99
Os 0.3333 0.6667 0.1676  6 O 1.87-1.99
Ni 0.0000 0.0000 0.5000  6 O 2.10
O 0.3468 0.1734 0.6821  1 Os 1.87
O 0.8266 0.6532 0.6821  1 Os 1.87
O 0.0000 0.5000 0.0000  2 Os 1.99
O 0.6532 0.8266 0.3179  1 Os 1.87
O 0.5000 0.5000 0.0000  2 Os 1.99
O 0.5000 0.0000 0.0000  2 Os 1.99
O 0.8266 0.1734 0.6821  1 Os 1.87
O 0.1734 0.3468 0.3179  1 Os 1.87
O 0.1734 0.8266 0.3179  1 Os 1.87

Values from the calculation:
Calculated density = 6.2 g/cm³
Final energy = -6.117 eV/atom

4.
VASP calculation (PBE with a Hubbard U) on a geometry-optimized KNiOsO4 structure.

Cell lengths 5.5458, 6.0319, 7.6545 Å; angles 90.00, 117.14, 90.00 degrees
With the nearest neighbours (Å) after each atom.
Fractional positions:
O 0.0094 0.9989 0.7260  1 Os 1.81
O 0.5111 0.2500 0.4274  1 Os 1.88, 1 Ni 1.95
O 0.5163 0.2500 0.7452  1 Os 1.91, 1 Ni 2.02
O 0.9906 0.0011 0.2740  1 Os 1.81
O 0.4889 0.7500 0.5726  1 Os 1.88, 1 Ni 1.95
O 0.9906 0.4989 0.2740  1 Os 1.81
O 0.0094 0.5011 0.7260  1 Os 1.81
O 0.4837 0.7500 0.2548  1 Os 1.91, 1 Ni 2.02
Ni 0.8043 0.7500 0.5240  4 O 1.95-2.08
Ni 0.1957 0.2500 0.4760  4 O 1.95-2.08
K 0.4868 0.7500 0.8997  4 O 2.51-2.80
K 0.5132 0.2500 0.1003  4 O 2.51-2.80
Os 0.8098 0.2500 0.6793  4 O 1.81-1.91
Os 0.1902 0.7500 0.3207  4 O 1.81-1.91

Values from the calculation:
Calculated density = 5.1 g/cm³
Final energy = -5.866 eV/atom

5.
VASP calculation (PBE with a Hubbard U) on a geometry-optimized KNiPO10 structure.

Cell lengths 9.1803, 6.8767, 7.2017 Å; angles 91.24, 90.00, 90.00 degrees
With the nearest neighbours (Å) after each atom.
Fractional positions:
O 0.1457 0.0096 0.7631  1 Ni 1.89
O 0.2010 0.4778 0.5275  2 O 1.31-1.32
O 0.1105 0.4356 0.0752  1 O 1.23
O 0.5931 0.1231 0.6649  1 P 1.54
O 0.8635 0.9456 0.5323  1 P 1.55
O 0.1784 0.5754 0.0162  1 O 1.23
O 0.6105 0.5644 0.9248  1 O 1.23
O 0.3470 0.2403 0.7807  1 P 1.56
O 0.3001 0.5804 0.4413  1 O 1.31
O 0.3635 0.0544 0.4677  1 P 1.55
O 0.6151 0.4139 0.3665  1 O 1.32
O 0.0931 0.8769 0.3351  1 P 1.54
O 0.8470 0.7597 0.2193  1 P 1.56
O 0.3964 0.8812 0.7637  1 P 1.58
O 0.6457 0.9904 0.2369  1 Ni 1.89
O 0.7010 0.5222 0.4725  2 O 1.31-1.32
O 0.8964 0.1188 0.2363  1 P 1.58
O 0.8001 0.4196 0.5587  1 O 1.31
O 0.1151 0.5861 0.6335  1 O 1.32
O 0.6784 0.4246 0.9838  1 O 1.23
Ni 0.2163 0.8559 0.5609  3 O 1.89-2.04
Ni 0.7163 0.1441 0.4391  3 O 1.89-2.04
K 0.7955 0.9516 0.8908  5 O 2.66-2.87
K 0.2955 0.0484 0.1092  5 O 2.66-2.87
P 0.9286 0.9199 0.3341  4 O 1.54-1.58
P 0.4286 0.0801 0.6659  4 O 1.54-1.58

Values from the calculation:
Calculated density = 2.1 g/cm³
Final energy = -5.246 eV/atom

6.
VASP calculation (PBE with a Hubbard U) on a geometry-optimized KNiPO2 structure.

Cell lengths 4.1777, 4.1777, 4.2402 Å; angles 90.00, 90.00, 90.00 degrees
With the nearest neighbours (Å) after each atom.
Fractional positions:
K 0.5000 0.5000 0.5000  4 P 2.95, 8 O 2.98
O 0.5000 0.0000 0.0000  2 Ni 2.09
O 0.0000 0.5000 0.0000  2 Ni 2.09
Ni 0.0000 0.0000 0.0000  4 O 2.09, 2 P 2.12
P 0.0000 0.0000 0.5000  2 Ni 2.12

Values from the calculation:
Calculated density = 3.6 g/cm³
Energy relative to the lowest polymorph listed for this composition = 0.000 eV/atom

7.
VASP calculation (PBE with a Hubbard U) on a geometry-optimized K2NiPO4 structure.

Cell lengths 5.3735, 5.3735, 5.3735 Å; angles 101.78, 113.45, 113.45 degrees
With the nearest neighbours (Å) after each atom.
Fractional positions:
K 0.0000 0.0000 0.0000  8 O 2.81-3.07
K 0.5000 0.7500 0.2500  4 O 2.66
P 0.0000 0.5000 0.5000  4 O 1.56
O 0.2987 0.8188 0.7437  1 P 1.56
O 0.7013 0.4450 0.5201  1 P 1.56
O 0.9249 0.4799 0.1812  1 P 1.56
O 0.0751 0.2563 0.5550  1 P 1.56
Ni 0.5000 0.2500 0.7500  4 O 2.12

Values from the calculation:
Calculated density = 3.3 g/cm³
Final energy = -5.563 eV/atom